Record 1
The following is a GGA-PBE calculation of a relaxed structure of LiTi2H, from the Alexandria database.

## Properties
**D(E_F)**: 0.353 states/eV/cell
**Energy above the most stable polymorph in this dataset**: 0.43 eV per formula unit
**Volume**: 13.45 Å³ per atom
**Space-group type**: No. 122
**Density**: 3.2 g cm⁻³

abc: 5.7893 5.7893 5.2017
angles: 56.19 56.19 90.00
Fractional positions:
Li1 0.0000 0.0000 0.0000
Li2 0.7500 0.2500 0.5000
Ti1 0.5124 0.1250 0.2500
Ti2 0.8750 0.7624 0.7500
Ti3 0.2376 0.6250 0.2500
Ti4 0.3750 0.4876 0.7500
H1 0.2500 0.7500 0.5000
H2 0.5000 0.5000 0.0000

---

Record 2
The following is a GGA-PBE calculation of a relaxed structure of HfCu2Ru, from the Alexandria database.

## Properties
**D(E_F)**: 3.649 states/eV/cell
**Calculated formation energy**: 0.13 eV per atom
**Energy above the most stable polymorph in this dataset**: 1.64 eV per formula unit
**Volume**: 15.96 Å³ per atom
**Space-group type**: No. 122
**Density**: 10.6 g cm⁻³

abc: 3.6531 3.6531 9.9079
angles: 79.38 79.38 90.00
Fractional positions:
Ru1 0.5000 0.5000 0.0000
Ru2 0.2500 0.7500 0.5000
Cu1 0.8750 0.8519 0.7500
Cu2 0.1481 0.6250 0.2500
Cu3 0.3750 0.3981 0.7500
Cu4 0.6019 0.1250 0.2500
Hf1 0.0000 0.0000 0.0000
Hf2 0.7500 0.2500 0.5000

---

Record 3
The following is a GGA-PBE calculation of a relaxed structure of HfScTi2Ir, from the Alexandria database.

## Properties
**D(E_F)**: 4.998 states/eV/cell
**Calculated formation energy**: 0.78 eV per atom
**Volume**: 19.36 Å³ per atom
**Space-group type**: No. 123
**Density**: 8.8 g cm⁻³

abc: 4.4728 4.8389 4.4728
angles: 90.00 90.00 90.00
Fractional positions:
Ti1 0.5000 0.0000 0.0000
Ti2 0.0000 0.0000 0.5000
Sc1 0.0000 0.0000 0.0000
Hf1 0.5000 0.5000 0.5000
Ir1 0.0000 0.5000 0.0000

---

Record 4
The following is a GGA-PBE calculation of a relaxed structure of Mg4Zn3Ga, from the Alexandria database.

## Properties
**D(E_F)**: 2.446 states/eV/cell
**Calculated formation energy**: -0.09 eV per atom
**Volume**: 18.35 Å³ per atom
**Space-group type**: No. 166
**Density**: 4.1 g cm⁻³

abc: 4.7138 4.7138 8.0977
angles: 73.08 73.08 60.00
Fractional positions:
Zn1 0.7510 0.7510 0.7470
Zn2 0.2490 0.2490 0.2530
Zn3 0.5000 0.5000 0.5000
Mg1 0.6241 0.6241 0.1277
Mg2 0.3759 0.3759 0.8723
Mg3 0.8745 0.8745 0.3765
Mg4 0.1255 0.1255 0.6235
Ga1 0.0000 0.0000 0.0000

---

Record 5
The following is a GGA-PBE calculation of a relaxed structure of V8Fe, from the Alexandria database.

## Properties
**D(E_F)**: 12.491 states/eV/cell
**Calculated formation energy**: -0.08 eV per atom
**Volume**: 12.94 Å³ per atom
**Space-group type**: No. 139
**Density**: 6.6 g cm⁻³

abc: 2.9491 6.4550 6.4550
angles: 87.01 76.79 76.79
Fractional positions:
Fe1 0.0000 0.0000 0.0000
V1 0.3317 0.6683 0.6683
V2 0.6635 0.6730 0.0000
V3 0.3365 0.0000 0.3270
V4 0.6635 0.0000 0.6730
V5 0.3365 0.3270 0.0000
V6 0.6683 0.3317 0.3317
V7 0.0000 0.6683 0.3317
V8 0.0000 0.3317 0.6683

---

Record 6
The following is a GGA-PBE calculation of a relaxed structure of ReCSe2Br, from the Alexandria database.

## Properties
**D(E_F)**: 6.687 states/eV/cell
**Energy above the most stable polymorph in this dataset**: 0.00 eV per formula unit
**Volume**: 24.61 Å³ per atom
**Space-group type**: No. 123
**Formation energy (no corrections)**: 1.71 eV/atom
**Density**: 5.9 g cm⁻³

abc: 4.7645 4.7645 5.4197
angles: 90.00 90.00 90.00
Fractional positions:
Se1 0.5000 0.0000 0.0000
Se2 0.0000 0.5000 0.0000
Br1 0.0000 0.0000 0.5000
Re1 0.0000 0.0000 0.0000
C1 0.5000 0.5000 0.5000

---

Record 7
The following is a GGA-PBE calculation of a relaxed structure of OsRh2Br, from the Alexandria database.

## Properties
**D(E_F)**: 5.488 states/eV/cell
**Energy above the most stable polymorph in this dataset**: 2.61 eV per formula unit
**Volume**: 15.48 Å³ per atom
**Space-group type**: No. 123
**Formation energy (no corrections)**: 1.12 eV/atom
**Density**: 12.8 g cm⁻³

abc: 4.0195 3.9249 3.9249
angles: 90.00 90.00 90.00
Fractional positions:
Rh1 0.0000 0.0000 0.0000
Rh2 0.0000 0.5000 0.5000
Br1 0.5000 0.5000 0.0000
Os1 0.5000 0.0000 0.5000

---

Record 8
The following is a GGA-PBE calculation of a relaxed structure of Rb3AgF, from the Alexandria database.

## Properties
**D(E_F)**: 2.936 states/eV/cell
**Energy above the most stable polymorph in this dataset**: 0.00 eV per formula unit
**Volume**: 37.68 Å³ per atom
**Space-group type**: No. 221
**Formation energy (no corrections)**: -0.99 eV/atom
**Density**: 3.4 g cm⁻³

abc: 5.7330 5.7330 5.7330
angles: 90.00 90.00 90.00
Fractional positions:
F1 0.0000 0.0000 0.0000
Rb1 0.0000 0.0000 0.5000
Rb2 0.5000 0.0000 0.0000
Rb3 0.0000 0.5000 0.0000
Ag1 0.5000 0.5000 0.5000

---

Record 9
The following is a GGA-PBE calculation of a relaxed structure of ErZrTlGa, from the Alexandria database.

## Properties
**D(E_F)**: 3.958 states/eV/cell
**Calculated formation energy**: -0.23 eV per atom
**Volume**: 22.82 Å³ per atom
**Space-group type**: No. 216
**Density**: 9.7 g cm⁻³

abc: 5.0541 5.0541 5.0541
angles: 60.00 60.00 60.00
Fractional positions:
Ga1 0.2500 0.2500 0.2500
Er1 0.0000 0.0000 0.0000
Tl1 0.7500 0.7500 0.7500
Zr1 0.5000 0.5000 0.5000

---

Record 10
The following is a GGA-PBE calculation of a relaxed structure of BaLiSnGe2, from the Alexandria database.

## Properties
**D(E_F)**: 1.976 states/eV/cell
**Calculated formation energy**: -0.43 eV per atom
**Volume**: 25.76 Å³ per atom
**Space-group type**: No. 119
**Density**: 5.3 g cm⁻³

abc: 4.5893 4.5893 6.9224
angles: 109.36 109.36 90.00
Fractional positions:
Ba1 0.0000 0.0000 0.0000
Ge1 0.3905 0.3905 0.7809
Ge2 0.6095 0.6095 0.2191
Li1 0.2500 0.7500 0.5000
Sn1 0.7500 0.2500 0.5000

---

Record 11
The following is a GGA-PBE calculation of a relaxed structure of SrMgIn2Hg5, from the Alexandria database.

## Properties
**D(E_F)**: 4.858 states/eV/cell
**Calculated formation energy**: -0.10 eV per atom
**Volume**: 29.78 Å³ per atom
**Space-group type**: No. 71
**Density**: 8.3 g cm⁻³

abc: 5.2240 6.6559 8.7934
angles: 112.24 107.28 90.00
Fractional positions:
Hg1 0.0000 0.0000 0.0000
Hg2 0.3557 0.1248 0.7113
Hg3 0.3557 0.5866 0.7113
Hg4 0.6443 0.4134 0.2887
Hg5 0.6443 0.8752 0.2887
Sr1 0.0000 0.5000 0.0000
In1 0.1889 0.1889 0.3779
In2 0.8111 0.8111 0.6221
Mg1 0.5000 0.0000 0.0000

---

Record 12
The following is a GGA-PBE calculation of a relaxed structure of CdMoPb2, from the Alexandria database.

## Properties
**D(E_F)**: 3.682 states/eV/cell
**Calculated formation energy**: 0.49 eV per atom
**Volume**: 24.73 Å³ per atom
**Space-group type**: No. 160
**Density**: 10.5 g cm⁻³

abc: 11.3663 11.3663 11.3663
angles: 16.14 16.14 16.14
Fractional positions:
Pb1 0.2400 0.2400 0.2400
Pb2 0.0159 0.0159 0.0159
Cd1 0.4897 0.4897 0.4897
Mo1 0.7544 0.7544 0.7544

---

Record 13
The following is a GGA-PBE calculation of a relaxed structure of NbOs2PbBr, from the Alexandria database.

## Properties
**D(E_F)**: 6.383 states/eV/cell
**Energy above the most stable polymorph in this dataset**: 2.67 eV per formula unit
**Volume**: 26.04 Å³ per atom
**Space-group type**: No. 123
**Formation energy (no corrections)**: 2.74 eV/atom
**Density**: 9.7 g cm⁻³

abc: 4.9635 5.2854 4.9635
angles: 90.00 90.00 90.00
Fractional positions:
Os1 0.0000 0.0000 0.5000
Os2 0.5000 0.0000 0.0000
Br1 0.0000 0.5000 0.0000
Pb1 0.0000 0.0000 0.0000
Nb1 0.5000 0.5000 0.5000